(1)
Computed, not measured: a geometry-optimized Y2Er3Lu2Ni2Te2 structure at the PBE level of DFT.

a b c (Å): 9.2737 9.2737 9.2737
angles (deg): 156.23 67.02 118.37
Closest atoms and distances in Å follow each position.
Sites, in units of the cell vectors:
Ni  0.1407  0.4043  0.7365  2 Er 2.76, 2 Lu 2.79, 2 Y 2.80
Er  0.9763  0.4763  0.5000  3 Te 3.15-3.17
Er  0.9112  0.0964  0.8148  2 Ni 2.76
Er  0.2816  0.0964  0.1852  2 Ni 2.76
Lu  0.8944  0.7474  0.1470  2 Ni 2.79
Y  0.2640  0.8954  0.3686  2 Ni 2.80, 1 Te 3.11
Lu  0.6005  0.7474  0.8530  2 Ni 2.79
Y  0.5268  0.8954  0.6314  2 Ni 2.80, 1 Te 3.11
Ni  0.6678  0.4043  0.2635  2 Er 2.76, 2 Lu 2.79, 2 Y 2.80
Te  0.2400  0.2400  0.0000  4 Er 3.15-3.17, 4 Y 3.16
Te  0.6428  0.1428  0.5000  2 Y 3.11, 4 Lu 3.13, 1 Er 3.17

**DFT total energy**: -60.51 eV per formula unit


(2)
Computed, not measured: a geometry-optimized HoZr structure at the PBE level of DFT.

a b c (Å): 9.0302 6.7644 5.3546
angles (deg): 90.00 90.00 100.86
Closest atoms and distances in Å follow each position.
Sites, in units of the cell vectors:
Ho  0.6830  0.1701  0.0000  6 Zr 3.21-3.39, 6 Ho 3.36-3.58
Zr  0.2005  0.0492  0.5000  4 Zr 3.12-3.23, 6 Ho 3.34-3.39
Ho  0.3267  0.8368  0.0000  7 Ho 3.32-3.56, 5 Zr 3.34-3.64
Zr  0.6884  0.6731  0.0000  4 Zr 3.12-3.23, 6 Ho 3.34-3.39
Zr  0.9018  0.2174  0.5000  7 Zr 3.12-3.48, 5 Ho 3.21-3.49
Zr  0.9871  0.5048  0.0000  7 Zr 3.12-3.48, 5 Ho 3.21-3.49
Ho  0.5622  0.8854  0.5000  7 Ho 3.32-3.56, 5 Zr 3.34-3.64
Zr  0.9958  0.9922  0.0000  9 Zr 3.18-3.48, 3 Ho 3.27-3.38
Zr  0.8930  0.7300  0.5000  9 Zr 3.18-3.48, 3 Ho 3.27-3.38
Ho  0.2059  0.5521  0.5000  6 Zr 3.21-3.39, 6 Ho 3.36-3.58
Ho  0.3255  0.3270  0.0000  7 Ho 3.32-3.58, 5 Zr 3.34-3.65
Ho  0.5633  0.3952  0.5000  7 Ho 3.32-3.58, 5 Zr 3.34-3.65

**Energy relative to the elements**: 0.05 eV per atom
**DFT total energy**: -13.02 eV per formula unit


(3)
Computed, not measured: a geometry-optimized SiAsIrO structure at the PBE level of DFT.

a b c (Å): 4.0917 4.0917 7.3046
angles (deg): 90.00 90.00 90.00
Closest atoms and distances in Å follow each position.
Sites, in units of the cell vectors:
O  0.5000  0.5000  0.0000  4 Ir 2.11
O  0.0000  0.0000  0.0000  4 Ir 2.11
Ir  0.5000  0.0000  0.0725  4 O 2.11
Si  0.0000  0.0000  0.5000  4 As 2.54
As  0.5000  0.0000  0.7069  4 Si 2.54, 1 Ir 2.67
Si  0.5000  0.5000  0.5000  4 As 2.54
Ir  0.0000  0.5000  0.9275  4 O 2.11
As  0.0000  0.5000  0.2931  4 Si 2.54, 1 Ir 2.67

**DFT total energy**: -22.09 eV per formula unit


(4)
Computed, not measured: a geometry-optimized Hf4CdNiC2 structure at the PBE level of DFT.

a b c (Å): 3.2739 3.2739 14.0639
angles (deg): 90.00 90.00 120.00
Closest atoms and distances in Å follow each position.
Sites, in units of the cell vectors:
C  0.3333  0.6667  0.7329  6 Hf 2.24-2.33
Ni  0.6667  0.3333  0.5000  6 Hf 2.69
Hf  0.0000  0.0000  0.3644  3 C 2.33
Hf  0.0000  0.0000  0.6356  3 C 2.33
Hf  0.6667  0.3333  0.8188  3 C 2.24
Cd  0.0000  0.0000  0.0000  6 Hf 3.17, 6 Cd 3.27
Hf  0.6667  0.3333  0.1812  3 C 2.24
C  0.3333  0.6667  0.2671  6 Hf 2.24-2.33

**DFT total energy**: -69.20 eV per formula unit


(5)
Computed, not measured: a geometry-optimized BaReB4 structure at the PBE level of DFT.

a b c (Å): 3.1261 3.1261 8.1566
angles (deg): 90.00 90.00 120.00
Closest atoms and distances in Å follow each position.
Sites, in units of the cell vectors:
Ba  0.0000  0.0000  0.0000  12 B 3.06, 6 Ba 3.13
B  0.3333  0.6667  0.6972  3 B 1.80
B  0.3333  0.6667  0.3028  3 B 1.80
B  0.6667  0.3333  0.3028  3 B 1.80
Re  0.0000  0.0000  0.5000  12 B 2.42
B  0.6667  0.3333  0.6972  3 B 1.80

**DFT total energy**: -39.88 eV per formula unit


(6)
Computed, not measured: a geometry-optimized Sm2HoCo2B2N3 structure at the PBE level of DFT.

a b c (Å): 10.2209 10.2209 10.2209
angles (deg): 160.07 160.07 28.34
Closest atoms and distances in Å follow each position.
Sites, in units of the cell vectors:
N  0.8813  0.8813  0.0000  1 B 1.51
Sm  0.3748  0.3748  0.0000  5 N 2.48-2.51
Co  0.7500  0.2500  0.5000  4 B 2.08
N  0.5000  0.5000  0.0000  2 Sm 2.48, 4 Ho 2.50
Ho  0.0000  0.0000  0.0000  6 N 2.35-2.50
B  0.8053  0.8053  0.0000  1 N 1.51
B  0.1947  0.1947  0.0000  1 N 1.51
Co  0.2500  0.7500  0.5000  4 B 2.08
Sm  0.6252  0.6252  0.0000  5 N 2.48-2.51
N  0.1187  0.1187  0.0000  1 B 1.51

**DFT total energy**: -78.04 eV per formula unit


(7)
Computed, not measured: a geometry-optimized HoNi structure at the PBE level of DFT.

a b c (Å): 3.8877 3.8877 3.8877
angles (deg): 60.00 60.00 60.00
Closest atoms and distances in Å follow each position.
Sites, in units of the cell vectors:
Ho  0.0000  0.0000  0.0000  6 Ni 2.75
Ni  0.5000  0.5000  0.5000  6 Ho 2.75

**Energy relative to the elements**: -0.24 eV per atom
**DFT total energy**: -10.62 eV per formula unit


(8)
Computed, not measured: a geometry-optimized PaBiPb structure at the PBE level of DFT.

a b c (Å): 5.2741 5.2741 5.2741
angles (deg): 60.00 60.00 60.00
Closest atoms and distances in Å follow each position.
Sites, in units of the cell vectors:
Pb  0.2500  0.2500  0.2500  4 Bi 3.23, 4 Pa 3.23
Bi  0.5000  0.5000  0.5000  4 Pb 3.23
Pa  0.0000  0.0000  0.0000  4 Pb 3.23

**DFT total energy**: -15.57 eV per formula unit